{
  "formula": "Mg6PbAu",
  "functional": "PBE",
  "state": "optimized geometry",
  "lattice_angstrom": [[4.453, 0.000, 0.000], [0.000, 4.453, 0.000], [0.000, 0.000, 8.708]],
  "species": ["Mg", "Mg", "Au", "Mg", "Mg", "Mg", "Pb", "Mg"],
  "frac_coords": [[0.500, 0.500, 0.000], [0.000, 0.500, 0.272], [0.000, 0.000, 0.500], [0.500, 0.500, 0.500], [0.000, 0.500, 0.728], [0.500, 0.000, 0.728], [0.000, 0.000, 0.000], [0.500, 0.000, 0.272]],
  "sg": "P4/mmm",
  "delta_e_f_ev_per_fu": -1.6
}